Density functional theory data (PBE) for Li4SnBiIr2 after structural relaxation.

## Properties
The value obtained for the theoretical density is 9.6 g/cm3.

Unit cell a=4.4769 b=4.4769 c=6.3753 alpha=90.00 beta=90.00 gamma=90.00
Space group P-4m2 (No. 115)
Symmetry-distinct sites (fractional):
Li (0.0000, 0.0000, 0.0000)
Li (0.0000, 0.5000, 0.7376)
Li (0.5000, 0.5000, 0.5000)
Sn (0.0000, 0.0000, 0.5000)
Bi (0.5000, 0.5000, 0.0000)
Ir (0.0000, 0.5000, 0.2595)

Density functional theory data (PBE) for LiTa3Bi4Ir4 after structural relaxation.

## Properties
The value obtained for the theoretical density is 13.9 g/cm3.

Unit cell a=6.3748 b=6.3748 c=12.6338 alpha=90.00 beta=90.00 gamma=90.00
Space group I-42m (No. 121)
Symmetry-distinct sites (fractional):
Li (0.0000, 0.0000, 0.0000)
Ta (0.0000, 0.0000, 0.5000)
Ta (0.0000, 0.5000, 0.2500)
Bi (0.0000, 0.0000, 0.2303)
Bi (0.0000, 0.5000, 0.0000)
Ir (0.2296, 0.2296, 0.6321)

Density functional theory data (PBE) for LuBi2Ir after structural relaxation.

## Properties
The value obtained for the theoretical density is 13.5 g/cm3.

Unit cell a=7.2751 b=7.2751 c=7.2751 alpha=90.00 beta=90.00 gamma=90.00
Space group F-43m (No. 216)
Symmetry-distinct sites (fractional):
Lu (0.0000, 0.0000, 0.0000)
Bi (0.0000, 0.0000, 0.5000)
Bi (0.2500, 0.2500, 0.2500)
Ir (0.2500, 0.2500, 0.7500)

Density functional theory data (PBE) for LuBiIr2 after structural relaxation.

## Properties
The value obtained for the theoretical density is 16.4 g/cm3.

Unit cell a=6.7786 b=6.7786 c=6.7786 alpha=90.00 beta=90.00 gamma=90.00
Space group F-43m (No. 216)
Symmetry-distinct sites (fractional):
Lu (0.0000, 0.0000, 0.0000)
Bi (0.2500, 0.2500, 0.7500)
Ir (0.0000, 0.0000, 0.5000)
Ir (0.2500, 0.2500, 0.2500)

Density functional theory data (PBE) for LuNbBi2Ir2 after structural relaxation.

## Properties
The value obtained for the theoretical density is 13.1 g/cm3.

Unit cell a=4.5929 b=9.1401 c=6.4741 alpha=90.00 beta=90.00 gamma=90.00
Space group Pmn2_1 (No. 31)
Symmetry-distinct sites (fractional):
Lu (0.0000, 0.1261, 0.0000)
Nb (0.0000, 0.6220, 0.0185)
Bi (0.0000, 0.1219, 0.4944)
Bi (0.0000, 0.6289, 0.5269)
Ir (0.0000, 0.3883, 0.2770)
Ir (0.0000, 0.8568, 0.2390)

Density functional theory data (PBE) for LuNiBiIr after structural relaxation.

## Properties
The value obtained for the theoretical density is 13.9 g/cm3.

Unit cell a=6.7257 b=6.7257 c=6.7257 alpha=90.00 beta=90.00 gamma=90.00
Space group F-43m (No. 216)
Symmetry-distinct sites (fractional):
Lu (0.0000, 0.0000, 0.0000)
Ni (0.0000, 0.0000, 0.5000)
Bi (0.2500, 0.2500, 0.2500)
Ir (0.2500, 0.2500, 0.7500)

Density functional theory data (PBE) for Tm3Lu3Bi2Ir after structural relaxation.

## Properties
The value obtained for the theoretical density is 11.3 g/cm3. The calculation puts the offset from the most stable computed form at 0.033 eV/atom.

Unit cell a=8.2165 b=8.2165 c=4.1214 alpha=90.00 beta=90.00 gamma=120.00
Space group P-62m (No. 189)
Symmetry-distinct sites (fractional):
Tm (0.0000, 0.2370, 0.0000)
Lu (0.0000, 0.6171, 0.5000)
Bi (0.3333, 0.6667, 0.0000)
Ir (0.0000, 0.0000, 0.5000)

Density functional theory data (PBE) for Tm3Lu3Bi2Ir after structural relaxation.

## Properties
The value obtained for the theoretical density is 11.3 g/cm3. The calculation puts the offset from the most stable computed form at 0.000 eV/atom.

Unit cell a=8.2075 b=8.2075 c=4.1264 alpha=90.00 beta=90.00 gamma=120.00
Space group P-62m (No. 189)
Symmetry-distinct sites (fractional):
Tm (0.0000, 0.6172, 0.0000)
Lu (0.0000, 0.2359, 0.5000)
Bi (0.3333, 0.6667, 0.5000)
Ir (0.0000, 0.0000, 0.0000)

Final energy: -4.49, -7.64, -5.35, -6.49, -7.21, -5.74, -5.52, -5.56 (eV per atom)